[1]
Compound: Rb4PmPa3O12
Source: Alexandria via LeMat-Bulk
Functional: PBE
Structure: optimized geometry

abc: 7.7031 7.7031 7.7031
angles: 109.47 109.47 109.47
Last column: nearest neighbours and their distance in Å.
Fractional positions:
Rb 0.5000 0.5000 0.5000  12 O 3.14-3.15
Rb 0.0000 0.0000 0.5000  12 O 3.14-3.15
Rb 0.5000 0.0000 0.0000  12 O 3.14-3.15
Rb 0.0000 0.5000 0.0000  12 O 3.14-3.15
Pm 0.0000 0.0000 0.0000  6 O 2.36
Pa 0.5000 0.0000 0.5000  6 O 2.09-2.22
Pa 0.5000 0.5000 0.0000  6 O 2.09-2.22
Pa 0.0000 0.5000 0.5000  6 O 2.09-2.22
O 0.2500 0.5000 0.7500  2 Pa 2.22
O 0.7348 0.0000 0.7348  1 Pa 2.09
O 0.2652 0.0000 0.2652  1 Pa 2.09
O 0.7500 0.5000 0.2500  2 Pa 2.22
O 0.7348 0.7348 0.0000  1 Pa 2.09
O 0.2652 0.2652 0.0000  1 Pa 2.09
O 0.7500 0.2500 0.5000  2 Pa 2.22
O 0.2500 0.7500 0.5000  2 Pa 2.22
O 0.5000 0.2500 0.7500  2 Pa 2.22
O 0.0000 0.7348 0.7348  1 Pa 2.09
O 0.5000 0.7500 0.2500  2 Pa 2.22
O 0.0000 0.2652 0.2652  1 Pa 2.09

Output
space-group type	Im-3m
N(E_F)	1.0152	states/eV per atom
crystal system	cubic
formation energy from raw total energies	-56.44	eV per formula unit
calculated volume	352	Å³ per cell



[2]
Compound: ScBeFe2
Source: Alexandria via LeMat-Bulk
Functional: PBE
Structure: optimized geometry

abc: 6.7897 6.7897 6.7897
angles: 26.03 26.03 26.03
Last column: nearest neighbours and their distance in Å.
Fractional positions:
Sc 0.2500 0.2500 0.2500  6 Fe 2.72
Be 0.7500 0.7500 0.7500  6 Fe 2.14
Fe 0.0215 0.0215 0.0215  3 Be 2.14
Fe 0.4785 0.4785 0.4785  3 Be 2.14

Output
energy of formation	1.2	eV/f.u.
space-group type	R-3m
N(E_F)	1.1610	states/eV per atom
crystal system	trigonal
calculated volume	53	Å³ per cell



[3]
Compound: KIrAu2
Source: Alexandria via LeMat-Bulk
Functional: PBE
Structure: optimized geometry

abc: 2.9260 2.9260 9.3076
angles: 90.00 90.00 89.99
Last column: nearest neighbours and their distance in Å.
Fractional positions:
Au 0.0000 0.0000 0.0404  4 Ir 2.84, 4 Au 2.93
Au 0.0000 0.0000 0.4596  4 Ir 2.84, 4 Au 2.93
Ir 0.5000 0.5000 0.2500  8 Au 2.84, 4 Ir 2.93
K 0.5000 0.5000 0.7500  4 K 2.93

Output
energy of formation	1.5	eV/f.u.
relative energy among the computed polymorphs	91	meV per atom
space-group type	P4/mmm
N(E_F)	0.6940	states/eV per atom
crystal system	tetragonal
calculated volume	80	Å³ per cell